(1)
# meta-GGA SCAN Ti2SiH, single point on PBEsol structure
data_Ti2SiH
_chemical_formula_sum 'Ti8 Si4 H4'
_cell_length_a 5.891
_cell_length_b 5.891
_cell_length_c 5.891
_cell_angle_alpha 90.00
_cell_angle_beta 90.00
_cell_angle_gamma 90.00
_space_group_name_H-M_alt 'F m -3 m'
_space_group_IT_number 225
_space_group_name_Hall '-F 4 2 3'
loop_
_atom_site_label
_atom_site_type_symbol
_atom_site_fract_x
_atom_site_fract_y
_atom_site_fract_z
Ti1 Ti 0.250 0.250 0.250
Si1 Si 0.000 0.000 0.000
H1 H 0.000 0.000 0.500
# Excess energy over the best structure of this formula in the dataset in eV/atom: 0.3516
# Crystal system: cubic
# N(E_F) in states/eV/f.u.: 2.03

=====

(2)
# meta-GGA SCAN Ti2SiH, single point on PBEsol structure
data_Ti2SiH
_chemical_formula_sum 'Ti8 Si4 H4'
_cell_length_a 5.866
_cell_length_b 5.866
_cell_length_c 5.653
_cell_angle_alpha 90.00
_cell_angle_beta 90.00
_cell_angle_gamma 90.00
_space_group_name_H-M_alt 'I -4 2 d'
_space_group_IT_number 122
_space_group_name_Hall 'I -4 2bw'
loop_
_atom_site_label
_atom_site_type_symbol
_atom_site_fract_x
_atom_site_fract_y
_atom_site_fract_z
Ti1 Ti 0.169 0.750 0.125
Si1 Si 0.000 0.000 0.500
H1 H 0.000 0.000 0.000
# Excess energy over the best structure of this formula in the dataset in eV/atom: 0.0000
# Crystal system: tetragonal
# N(E_F) in states/eV/f.u.: 1.34

=====

(3)
# meta-GGA SCAN Y2SiH2, single point on PBEsol structure
data_Y2SiH2
_chemical_formula_sum 'Y4 Si2 H4'
_cell_length_a 3.555
_cell_length_b 3.555
_cell_length_c 11.924
_cell_angle_alpha 90.00
_cell_angle_beta 90.00
_cell_angle_gamma 90.00
_space_group_name_H-M_alt 'I 4/m m m'
_space_group_IT_number 139
_space_group_name_Hall '-I 4 2'
loop_
_atom_site_label
_atom_site_type_symbol
_atom_site_fract_x
_atom_site_fract_y
_atom_site_fract_z
Y1 Y 0.000 0.000 0.139
Si1 Si 0.000 0.000 0.500
H1 H 0.000 0.500 0.250
# Raw total energy in eV/cell: -152.8
# Crystal system: tetragonal
# N(E_F) in states/eV/f.u.: 1.14

=====

(4)
# meta-GGA SCAN Zn3SiH, single point on PBEsol structure
data_Zn3SiH
_chemical_formula_sum 'Zn3 Si1 H1'
_cell_length_a 3.969
_cell_length_b 3.969
_cell_length_c 3.969
_cell_angle_alpha 90.00
_cell_angle_beta 90.00
_cell_angle_gamma 90.00
_space_group_name_H-M_alt 'P m -3 m'
_space_group_IT_number 221
_space_group_name_Hall '-P 4 2 3'
loop_
_atom_site_label
_atom_site_type_symbol
_atom_site_fract_x
_atom_site_fract_y
_atom_site_fract_z
Zn1 Zn 0.000 0.000 0.500
Si1 Si 0.500 0.500 0.500
H1 H 0.000 0.000 0.000
# Raw total energy in eV/cell: -51.7
# Crystal system: cubic
# N(E_F) in states/eV/f.u.: 0.95

=====

(5)
# meta-GGA SCAN ZnSi3H, single point on PBEsol structure
data_ZnSi3H
_chemical_formula_sum 'Zn1 Si3 H1'
_cell_length_a 3.966
_cell_length_b 3.966
_cell_length_c 3.966
_cell_angle_alpha 90.00
_cell_angle_beta 90.00
_cell_angle_gamma 90.00
_space_group_name_H-M_alt 'P m -3 m'
_space_group_IT_number 221
_space_group_name_Hall '-P 4 2 3'
loop_
_atom_site_label
_atom_site_type_symbol
_atom_site_fract_x
_atom_site_fract_y
_atom_site_fract_z
Zn1 Zn 0.000 0.000 0.000
Si1 Si 0.000 0.500 0.500
H1 H 0.500 0.500 0.500
# Raw total energy in eV/cell: -43.5
# Crystal system: cubic
# N(E_F) in states/eV/f.u.: 1.97

=====

(6)
# meta-GGA SCAN ZrSiH2, single point on PBEsol structure
data_ZrSiH2
_chemical_formula_sum 'Zr4 Si4 H8'
_cell_length_a 5.418
_cell_length_b 5.418
_cell_length_c 5.418
_cell_angle_alpha 90.00
_cell_angle_beta 90.00
_cell_angle_gamma 90.00
_space_group_name_H-M_alt 'F m -3 m'
_space_group_IT_number 225
_space_group_name_Hall '-F 4 2 3'
loop_
_atom_site_label
_atom_site_type_symbol
_atom_site_fract_x
_atom_site_fract_y
_atom_site_fract_z
Zr1 Zr 0.000 0.000 0.000
Si1 Si 0.000 0.000 0.500
H1 H 0.250 0.250 0.250
# Raw total energy in eV/cell: -188.0
# Crystal system: cubic
# N(E_F) in states/eV/f.u.: 1.36

=====

(7)
# meta-GGA SCAN ZrSi2H, single point on PBEsol structure
data_ZrSi2H
_chemical_formula_sum 'Zr4 Si8 H4'
_cell_length_a 6.214
_cell_length_b 6.214
_cell_length_c 6.214
_cell_angle_alpha 90.00
_cell_angle_beta 90.00
_cell_angle_gamma 90.00
_space_group_name_H-M_alt 'F m -3 m'
_space_group_IT_number 225
_space_group_name_Hall '-F 4 2 3'
loop_
_atom_site_label
_atom_site_type_symbol
_atom_site_fract_x
_atom_site_fract_y
_atom_site_fract_z
Zr1 Zr 0.000 0.000 0.000
Si1 Si 0.250 0.250 0.250
H1 H 0.000 0.000 0.500
# Raw total energy in eV/cell: -205.2
# Crystal system: cubic
# N(E_F) in states/eV/f.u.: 2.98

=====

(8)
# meta-GGA SCAN ZrSiH3, single point on PBEsol structure
data_ZrSiH3
_chemical_formula_sum 'Zr1 Si1 H3'
_cell_length_a 3.695
_cell_length_b 3.695
_cell_length_c 3.695
_cell_angle_alpha 90.00
_cell_angle_beta 90.00
_cell_angle_gamma 90.00
_space_group_name_H-M_alt 'P m -3 m'
_space_group_IT_number 221
_space_group_name_Hall '-P 4 2 3'
loop_
_atom_site_label
_atom_site_type_symbol
_atom_site_fract_x
_atom_site_fract_y
_atom_site_fract_z
Zr1 Zr 0.000 0.000 0.000
Si1 Si 0.500 0.500 0.500
H1 H 0.000 0.000 0.500
# Raw total energy in eV/cell: -49.8
# Crystal system: cubic
# N(E_F) in states/eV/f.u.: 1.48

=====

Magnetization
In order: 0.00 0.00 0.00 0.00 0.00 0.00 0.09 0.00
Unit: μB/cell